First-principles (PBE) data for a relaxed TmTlCd crystal, as listed in the Alexandria database.

abc: 3.604 3.604 6.460
angles: 106.20 106.20 90.00
Last column: magnetic moment on the atom in μB.
Element x y z (fractional)
1 Tl 0.621 0.621 0.242  0.00
2 Tm 0.947 0.947 0.893  0.17
3 Cd 0.282 0.282 0.564  0.00

Calculated values
Magnetic moment ... 0.2 μB per formula unit
Symmetry ... I4mm (107)
Mass density ... 10.46 g/cm3
Total DFT energy (no corrections) ... -8.2 eV/cell
ΔE_f ... -0.151 eV/atom
V ... 25.71 Å³ per atom